The following is a PBE calculation of crystalline Ac2Ga4Cu3Ni at its relaxed geometry, from Alexandria.

V: 19.54 Å³ per atom
DFT formation energy: -0.418 eV/atom

Unit cell a=4.369 b=4.369 c=10.236 alpha=90.00 beta=90.00 gamma=90.00
Atoms (fractional coordinates):
Ga 0.000 0.500 0.384
Cu 0.000 0.500 0.132
Ga 0.500 0.500 0.000
Ni 0.500 0.500 0.500
Cu 0.000 0.000 0.500
Ga 0.500 0.000 0.616
Ac 0.500 0.000 0.258
Ac 0.000 0.500 0.742
Cu 0.500 0.000 0.868
Ga 0.000 0.000 0.000